# 1
The following is a DFT calculation (PBE-GGA) of a geometry-optimized K2RbF structure.

* relative energy among the computed polymorphs: 0.0634 eV/atom
* Fermi-level density of states: 0.67 states/eV/atom
* magnetic moment: 0.00 μB/f.u.
* DFT total energy: -29.83 eV per cell
* V: 551 Å³ per cell
* raw formation energy: -1228 meV per atom

a b c (Å): 4.2475 4.2475 35.2626
angles (deg): 90.00 90.00 120.00
Last column: nearest neighbours and their distance in Å.
Space group R-3m (No. 166, hexagonal axes)
Inequivalent atoms, fractional coordinates:
K 0.0000 0.0000 0.1247  3 F 2.86
Rb 0.0000 0.0000 0.0000  6 Rb 4.25, 2 K 4.40
F 0.0000 0.0000 0.5000  6 K 2.86

=====

# 2
The following is a DFT calculation (PBE-GGA) of a geometry-optimized Li3CdRh structure.

* relative energy among the computed polymorphs: 0.3289 eV/atom
* Fermi-level density of states: 0.20 states/eV/atom
* magnetic moment: 0.00 μB/f.u.
* DFT total energy: -13.00 eV per cell
* V: 100 Å³ per cell

a b c (Å): 4.6360 4.6360 4.6360
angles (deg): 90.00 90.00 90.00
Last column: nearest neighbours and their distance in Å.
Space group Pm-3m (No. 221)
Inequivalent atoms, fractional coordinates:
Li 0.0000 0.0000 0.5000  2 Rh 2.32
Cd 0.5000 0.5000 0.5000  12 Li 3.28
Rh 0.0000 0.0000 0.0000  6 Li 2.32

=====

# 3
The following is a DFT calculation (PBE-GGA) of a geometry-optimized Ce2TlIr structure.

* relative energy among the computed polymorphs: 0.1642 eV/atom
* Fermi-level density of states: 1.89 states/eV/atom
* magnetic moment: 0.52 μB/f.u.
* DFT total energy: -24.35 eV per cell
* V: 94 Å³ per cell

a b c (Å): 4.7010 4.7010 4.2749
angles (deg): 90.00 90.00 90.00
Last column: nearest neighbours and their distance in Å.
Space group P4/mmm (No. 123)
Inequivalent atoms, fractional coordinates:
Ce 0.0000 0.5000 0.0000  4 Ir 3.18, 4 Tl 3.18, 4 Ce 3.32
Tl 0.0000 0.0000 0.5000  8 Ce 3.18, 4 Ir 3.32
Ir 0.5000 0.5000 0.5000  8 Ce 3.18, 4 Tl 3.32

=====

# 4
The following is a DFT calculation (PBE-GGA) of a geometry-optimized Sc2H2Pd structure.

* relative energy among the computed polymorphs: 0.2022 eV/atom
* Fermi-level density of states: 0.63 states/eV/atom
* magnetic moment: 0.00 μB/f.u.
* DFT total energy: -27.32 eV per cell
* V: 65 Å³ per cell

a b c (Å): 3.1715 3.1715 6.4522
angles (deg): 90.00 90.00 90.00
Last column: nearest neighbours and their distance in Å.
Space group P4/mmm (No. 123)
Inequivalent atoms, fractional coordinates:
Sc 0.0000 0.0000 0.2282  4 H 2.16
H 0.0000 0.5000 0.0000  4 Sc 2.16, 4 H 2.24
Pd 0.5000 0.5000 0.5000  8 Sc 2.85, 4 Pd 3.17

=====

# 5
The following is a DFT calculation (PBE-GGA) of a geometry-optimized TaCo2C structure.

* Fermi-level density of states: 0.77 states/eV/atom
* magnetic moment: 0.00 μB/f.u.
* DFT total energy: -133.56 eV per cell
* V: 208 Å³ per cell

a b c (Å): 5.2968 5.2968 7.4125
angles (deg): 90.00 90.00 90.00
Last column: nearest neighbours and their distance in Å.
Space group I-42d (No. 122)
Inequivalent atoms, fractional coordinates:
Ta 0.0000 0.0000 0.0000  4 Co 2.49
Co 0.1416 0.2500 0.6250  2 C 1.78
C 0.0000 0.0000 0.5000  4 Co 1.78

=====

# 6
The following is a DFT calculation (PBE-GGA) of a geometry-optimized LaCe2S3 structure.

* Fermi-level density of states: 1.86 states/eV/atom
* magnetic moment: 1.23 μB/f.u.
* DFT total energy: -83.26 eV per cell
* V: 286 Å³ per cell
* raw formation energy: -2075 meV per atom

a b c (Å): 4.0663 5.7566 12.2023
angles (deg): 90.00 90.00 90.00
Last column: nearest neighbours and their distance in Å.
Space group Immm (No. 71)
Inequivalent atoms, fractional coordinates:
La 0.0000 0.0000 0.0000  6 S 2.88-2.92
Ce 0.0000 0.0000 0.3350  6 S 2.85-2.88
S 0.0000 0.5000 0.0000  4 Ce 2.86, 2 La 2.88
S 0.0000 0.5000 0.3286  4 Ce 2.85-2.88, 2 La 2.92

=====

# 7
The following is a DFT calculation (PBE-GGA) of a geometry-optimized Rb3LiHf structure.

* relative energy among the computed polymorphs: 0.0000 eV/atom
* Fermi-level density of states: 1.13 states/eV/atom
* magnetic moment: 4.00 μB/f.u.
* DFT total energy: -8.79 eV per cell
* V: 363 Å³ per cell

a b c (Å): 7.1349 7.1349 7.1349
angles (deg): 90.00 90.00 90.00
Last column: nearest neighbours and their distance in Å.
Space group Pm-3m (No. 221)
Inequivalent atoms, fractional coordinates:
Rb 0.0000 0.0000 0.5000  2 Hf 3.57
Li 0.5000 0.5000 0.5000  12 Rb 5.05
Hf 0.0000 0.0000 0.0000  6 Rb 3.57

=====

# 8
The following is a DFT calculation (PBE-GGA) of a geometry-optimized HgBP structure.

* Fermi-level density of states: 0.18 states/eV/atom
* magnetic moment: 0.00 μB/f.u.
* DFT total energy: -23.26 eV per cell
* V: 113 Å³ per cell

a b c (Å): 3.2814 5.9049 6.3474
angles (deg): 74.15 89.38 73.93
Last column: nearest neighbours and their distance in Å.
Space group P-1 (No. 2)
Inequivalent atoms, fractional coordinates:
Hg 0.0575 0.3731 0.2924  1 B 2.23
B 0.2209 0.0501 0.1582  3 P 1.96-2.07
P 0.1825 0.1445 0.8186  3 B 1.96-2.07

=====

# 9
The following is a DFT calculation (PBE-GGA) of a geometry-optimized BaCdBr2 structure.

* relative energy among the computed polymorphs: 0.0808 eV/atom
* Fermi-level density of states: 0.03 states/eV/atom
* magnetic moment: 0.00 μB/f.u.
* DFT total energy: -11.60 eV per cell
* V: 162 Å³ per cell
* raw formation energy: -1354 meV per atom

a b c (Å): 4.1041 4.1041 9.6058
angles (deg): 90.00 90.00 90.00
Last column: nearest neighbours and their distance in Å.
Space group P4/mmm (No. 123)
Inequivalent atoms, fractional coordinates:
Ba 0.0000 0.0000 0.0000  8 Br 3.40
Cd 0.0000 0.0000 0.5000  4 Cd 4.10, 8 Br 4.20
Br 0.5000 0.5000 0.1840  4 Ba 3.40, 1 Br 3.54

=====

# 10
The following is a DFT calculation (PBE-GGA) of a geometry-optimized CaH2I2 structure.

* relative energy among the computed polymorphs: 0.0000 eV/atom
* Fermi-level density of states: 0.00 states/eV/atom
* magnetic moment: 0.00 μB/f.u.
* DFT total energy: -33.47 eV per cell
* V: 321 Å³ per cell

a b c (Å): 4.5103 7.8395 9.0697
angles (deg): 90.89 91.35 90.04
Last column: nearest neighbours and their distance in Å.
Space group P-1 (No. 2)
Inequivalent atoms, fractional coordinates:
Ca 0.2500 0.2499 0.0005  6 I 3.15
H 0.1758 0.2320 0.4903  1 H 0.75
H 0.3204 0.2740 0.5124  1 H 0.75
I 0.2410 0.9143 0.8043  3 Ca 3.15, 1 H 3.41
I 0.2591 0.5866 0.1950  3 Ca 3.15, 1 H 3.39

=====

# 11
The following is a DFT calculation (PBE-GGA) of a geometry-optimized Pm3Y4Pt4 structure.

* Fermi-level density of states: 1.09 states/eV/atom
* magnetic moment: 0.00 μB/f.u.
* DFT total energy: -147.53 eV per cell
* V: 566 Å³ per cell

a b c (Å): 4.6182 7.8480 15.6192
angles (deg): 90.00 90.00 90.00
Last column: nearest neighbours and their distance in Å.
Space group Immm (No. 71)
Inequivalent atoms, fractional coordinates:
Pm 0.0000 0.0000 0.0000  6 Pt 3.25-3.39
Pm 0.0000 0.5000 0.1009  4 Pt 3.14, 1 Pm 3.15, 4 Y 3.41
Y 0.0000 0.2886 0.3290  4 Pt 2.79-2.95
Pt 0.0000 0.0000 0.2079  6 Y 2.90-2.95, 1 Pm 3.25
Pt 0.0000 0.1834 0.5000  2 Y 2.79, 1 Pt 2.88

=====

# 12
The following is a DFT calculation (PBE-GGA) of a geometry-optimized In6PPd12 structure.

* Fermi-level density of states: 0.44 states/eV/atom
* magnetic moment: 0.00 μB/f.u.
* DFT total energy: -273.99 eV per cell
* V: 1035 Å³ per cell

a b c (Å): 10.7036 10.7036 10.4332
angles (deg): 90.00 90.00 120.00
Last column: nearest neighbours and their distance in Å.
Space group R-3 (No. 148, hexagonal axes)
Inequivalent atoms, fractional coordinates:
In 0.0154 0.3986 0.2832  7 Pd 2.68-3.00
P 0.0000 0.0000 0.0000  6 Pd 2.33
Pd 0.0336 0.1730 0.3905  4 In 2.68-2.81, 5 Pd 2.72-2.95
Pd 0.0830 0.8994 0.8483  1 P 2.33